Record 1
This record from Alexandria via LeMat-Bulk describes crystalline Pu2Pa3Ga3 at its relaxed geometry. The functional is PBE.

```
16
Lattice="-2.588 3.533 2.399 -3.491 -4.187 -0.820 3.580 -5.255 11.598" Properties=species:S:1:pos:R:3 pbc="T T T"
Pu -1.305 -4.563 11.397
Pu -0.363 -2.565 4.470
Pu -2.136 -3.345 8.708
Pu -1.193 -1.346 1.780
Pa -0.969 -1.168 6.993
Pa 0.110 -7.148 11.493
Pa -2.608 1.238 1.685
Pa -1.529 -4.742 6.184
Pa -3.099 -3.674 3.063
Pa 0.600 -2.236 10.114
Ga -3.514 -2.448 5.892
Ga 2.034 -4.956 10.585
Ga -4.532 -0.953 2.592
Ga 1.016 -3.461 7.285
Ga -2.532 -0.530 4.312
Ga 0.034 -5.380 8.865
```

Output
- total energy (eV for the cell shown) = -135.6
- M_tot (μB/atom) = 1.5153
- ρ (kg/m3) = 13213

***

Record 2
This record from Alexandria via LeMat-Bulk describes crystalline PmCdIrO6 at its relaxed geometry. The functional is PBE.

```
18
Lattice="5.690 0.000 0.000 -2.845 4.928 0.000 0.000 0.000 8.926" Properties=species:S:1:pos:R:3 pbc="T T T"
Pm 0.000 3.285 2.231
Pm 2.845 1.643 6.694
Cd 0.000 0.000 0.000
Cd 0.000 0.000 4.463
Ir 2.845 1.643 2.231
Ir 0.000 3.285 6.694
O 2.049 3.029 1.150
O 4.444 1.639 1.150
O -0.803 4.668 5.613
O -1.599 3.289 7.776
O 1.246 1.639 3.313
O 3.641 3.029 3.313
O 0.803 4.668 7.776
O 3.648 0.260 3.313
O -0.796 1.899 5.613
O 2.042 0.260 1.150
O 1.599 3.289 5.613
O 0.796 1.899 7.776
```

Output
- formation energy from raw total energies (eV per atom) = -1.3605
- M_tot (μB/atom) = 0.1928
- ρ (kg/m3) = 7240

***

Record 3
This record from Alexandria via LeMat-Bulk describes crystalline Ca2ZnAu at its relaxed geometry. The functional is PBE.

```
4
Lattice="5.908 0.034 -0.018 4.840 3.388 -0.018 1.601 0.510 4.956" Properties=species:S:1:pos:R:3 pbc="T T T"
Zn 6.550 2.086 2.494
Au 2.767 0.881 1.158
Ca 10.547 3.358 0.249
Ca 9.407 2.995 3.441
```

Output
- total energy (eV for the cell shown) = -10.3
- M_tot (μB/atom) = 0.0000
- ρ (kg/m3) = 5775